The following is a DFT calculation (PBE) of an optimized crystal structure of MnInPt2.

a b c (Å): 9.350 9.350 9.350
angles (deg): 155.61 155.61 34.77
Element x y z (fractional)
Mn  0.000  0.000  0.000
Mn  0.750  0.250  0.500
In  0.250  0.750  0.500
In  0.500  0.500  0.000
Pt  0.105  0.625  0.980
Pt  0.375  0.355  0.480
Pt  0.645  0.125  0.020
Pt  0.875  0.895  0.520

## Properties
Energy relative to the elements   0.333 eV per atom
Density   13.36 Mg/m³
Uncorrected energy   -45.3 eV for the cell shown
Spin magnetization   0.063 μB per atom
Symmetry   No. 122



The following is a DFT calculation (PBE) of an optimized crystal structure of Mn2In2Pt.

a b c (Å): 6.446 6.446 4.110
angles (deg): 90.00 90.00 90.00
Element x y z (fractional)
Mn  0.114  0.386  0.000
Mn  0.386  0.886  0.000
Mn  0.614  0.114  0.000
Mn  0.886  0.614  0.000
In  0.184  0.684  0.500
In  0.316  0.184  0.500
In  0.684  0.816  0.500
In  0.816  0.316  0.500
Pt  0.000  0.000  0.000
Pt  0.500  0.500  0.000

## Properties
Energy relative to the elements   0.150 eV per atom
Density   10.39 Mg/m³
Uncorrected energy   -58.2 eV for the cell shown
Spin magnetization   0.681 μB per atom
Symmetry   No. 127



> What is the formula in the second record?

Mn2In2Pt